Below is a relaxed structure of NaGe2Ru, with properties calculated at the GGA-PBE level.

Calculated values
**Space group**: No. 123
**D(E_F)**: 1.0 states/eV/f.u.
**Spin magnetization**: 0.00 μB/f.u.
**Energy above the lowest structure with this stoichiometry**: 0 meV/atom
**Energy relative to the elements**: -0.17 eV/atom

Unit cell a=3.042 b=3.042 c=7.788 alpha=90.00 beta=90.00 gamma=90.00
Positions (direct):
Na (0.500, 0.500, 0.500)
Ge (0.000, 0.000, 0.195)
Ge (0.000, 0.000, 0.805)
Ru (0.500, 0.500, 0.000)